1.
The following is a DFT calculation (GGA-PBE) of crystalline Dy8Te4Pt3Au at its relaxed geometry.

Geometry as POSCAR:
```
Dy8Te4Pt3Au
1.0
8.290 0.000 0.000
0.000 8.773 0.333
-4.145 -4.139 5.865
Pt Au Dy Te
3 1 8 4
Cartesian
-2.072 2.317 3.099
2.072 2.317 3.099
4.145 4.386 0.166
0.000 4.386 0.166
-2.018 2.262 5.951
0.000 4.277 3.095
4.145 0.356 3.104
2.018 2.262 5.951
2.126 2.372 0.247
4.145 4.285 3.024
6.163 2.372 0.247
0.000 0.348 3.174
2.072 -2.070 2.933
4.145 0.000 0.000
-2.072 -2.070 2.933
0.000 0.000 0.000
```

Summary:
The formation energy without anion corrections comes out at -1.22 eV/atom. The space-group type is R-3m.

2.
The following is a DFT calculation (GGA-PBE) of crystalline Dy6Te3Pt2Au at its relaxed geometry.

Geometry as POSCAR:
```
Dy6Te3Pt2Au
1.0
-2.372 6.799 0.024
0.286 -3.736 6.149
7.557 1.370 -0.923
Dy Te Pt Au
6 3 2 1
Cartesian
0.109 2.510 4.269
1.596 -0.775 2.384
3.876 5.208 2.866
4.799 1.549 4.992
5.362 1.923 0.981
0.673 2.883 0.257
2.736 2.216 2.625
3.634 -1.342 4.694
1.838 5.775 0.556
-1.488 3.297 2.059
-0.597 -0.235 4.113
0.000 0.000 0.000
```

Summary:
The formation energy without anion corrections comes out at -1.21 eV/atom. The space-group type is C2/m.

3.
The following is a DFT calculation (GGA-PBE) of crystalline DyTmPtAu at its relaxed geometry.

Geometry as POSCAR:
```
DyTmPtAu
1.0
-2.462 -0.933 2.643
3.396 -0.308 3.054
0.597 5.603 -0.099
Dy Au Tm Pt
1 1 1 1
Cartesian
-0.177 1.432 0.341
0.356 0.279 3.063
0.007 3.107 3.736
-0.520 4.214 1.003
```

Summary:
For the formation energy, the calculation gives -1104 meV per atom. The space-group type is Amm2.

4.
The following is a DFT calculation (GGA-PBE) of crystalline DyTmPtAu at its relaxed geometry.

Geometry as POSCAR:
```
DyTmPtAu
1.0
4.980 0.000 0.000
2.490 4.313 0.000
2.490 1.438 4.067
Au Pt Tm Dy
1 1 1 1
Cartesian
2.490 1.438 1.017
7.471 4.313 3.050
4.980 2.875 2.033
0.000 0.000 0.000
```

Summary:
For the formation energy, the calculation gives -1059 meV per atom. The space-group type is F-43m.

5.
The following is a DFT calculation (GGA-PBE) of crystalline Dy3PuAu4 at its relaxed geometry.

Geometry as POSCAR:
```
Dy3PuAu4
1.0
-3.493 -0.830 0.000
0.595 -2.504 2.503
-2.346 9.879 10.438
Au Dy Pu
4 3 1
Cartesian
-2.028 8.540 9.024
-0.318 1.338 1.414
-0.884 3.723 3.934
-1.462 6.156 6.504
-2.622 3.273 6.471
-2.038 0.815 3.874
-3.205 5.730 9.067
-1.449 -1.667 1.252
```

Summary:
For the formation energy, the calculation gives -752 meV per atom. The space-group type is P4/mmm.

6.
The following is a DFT calculation (GGA-PBE) of crystalline DyPu2Au3 at its relaxed geometry.

Geometry as POSCAR:
```
DyPu2Au3
1.0
3.559 0.000 0.000
0.000 3.559 0.000
0.000 0.000 11.269
Au Pu Dy
3 2 1
Cartesian
0.000 0.000 3.907
0.000 0.000 0.000
0.000 0.000 7.363
1.779 1.779 1.906
1.779 1.779 9.364
1.779 1.779 5.635
```

Summary:
For the formation energy, the calculation gives -550 meV per atom. The space-group type is P4/mmm.

7.
The following is a DFT calculation (GGA-PBE) of crystalline DyPuAu at its relaxed geometry.

Geometry as POSCAR:
```
DyPuAu
1.0
-2.996 0.369 -1.669
2.271 -1.101 -4.318
-1.996 -3.649 2.777
Pu Dy Au
1 1 1
Cartesian
-1.255 -1.692 -3.125
-1.452 -2.692 -0.077
-0.015 0.002 -0.008
```

Summary:
For the formation energy, the calculation gives -209 meV per atom. The space-group type is P3m1.

8.
The following is a DFT calculation (GGA-PBE) of crystalline DyPuAu4 at its relaxed geometry.

Geometry as POSCAR:
```
DyPuAu4
1.0
3.756 0.000 0.000
0.000 3.756 0.000
0.000 0.000 9.257
Pu Au Dy
1 4 1
Cartesian
0.000 0.000 0.000
0.000 0.000 3.134
1.878 1.878 7.659
3.756 3.756 6.124
1.878 1.878 1.598
1.878 1.878 4.629
```

Summary:
For the formation energy, the calculation gives -636 meV per atom. The space-group type is P4/mmm.

9.
The following is a DFT calculation (GGA-PBE) of crystalline DyPuAu at its relaxed geometry.

Geometry as POSCAR:
```
DyPuAu
1.0
3.587 0.000 0.000
0.000 3.587 0.000
-1.793 -1.793 6.136
Pu Dy Au
1 1 1
Cartesian
0.000 0.000 0.193
0.000 0.000 3.783
1.793 1.793 2.160
```

Summary:
For the formation energy, the calculation gives -335 meV per atom. The space-group type is I4mm.

10.
The following is a DFT calculation (GGA-PBE) of crystalline DyPuAu at its relaxed geometry.

Geometry as POSCAR:
```
DyPuAu
1.0
-1.884 -2.160 2.147
-1.102 -1.194 -5.154
6.094 -5.052 0.265
Dy Pu Au
2 2 2
Cartesian
0.539 -2.802 0.641
2.569 -5.604 -3.382
-2.090 -2.690 -1.553
5.198 -5.716 -1.188
1.037 -3.146 -2.255
2.071 -5.260 -0.487
```

Summary:
For the formation energy, the calculation gives -136 meV per atom. The space-group type is C2/m.

Number 1: density of states at the Fermi level 10.644 states/eV/f.u., calculated volume 27.373 Å³ per atom. Number 2: density of states at the Fermi level 7.427 states/eV/f.u., calculated volume 27.516 Å³ per atom. Number 3: density of states at the Fermi level 1.960 states/eV/f.u., calculated volume 22.703 Å³ per atom. Number 4: density of states at the Fermi level 2.484 states/eV/f.u., calculated volume 21.839 Å³ per atom. Number 5: density of states at the Fermi level 10.941 states/eV/f.u., calculated volume 23.458 Å³ per atom. Number 6: density of states at the Fermi level 19.311 states/eV/f.u., calculated volume 23.785 Å³ per atom. Number 7: density of states at the Fermi level 8.719 states/eV/f.u., calculated volume 24.905 Å³ per atom. Number 8: density of states at the Fermi level 14.657 states/eV/f.u., calculated volume 21.770 Å³ per atom. Number 9: density of states at the Fermi level 8.746 states/eV/f.u., calculated volume 26.314 Å³ per atom. Number 10: density of states at the Fermi level 4.582 states/eV/f.u., calculated volume 24.074 Å³ per atom.